Record 1
A geometry-optimized DySiIr structure, computed with GGA-PBE.

Computed properties:
SG	Pnma
E	-7.36	eV per atom

Cell: 6.876 4.246 7.421 Å, 90.00 90.00 90.00°
Atoms (fractional coordinates):
Dy 0.000 0.250 0.187
Dy 0.000 0.750 0.813
Dy 0.500 0.250 0.313
Dy 0.500 0.750 0.687
Si 0.201 0.250 0.609
Si 0.299 0.750 0.109
Si 0.701 0.250 0.891
Si 0.799 0.750 0.391
Ir 0.157 0.750 0.432
Ir 0.343 0.250 0.932
Ir 0.657 0.750 0.068
Ir 0.843 0.250 0.568


Record 2
A geometry-optimized DySi4Ir6 structure, computed with GGA-PBE.

Computed properties:
SG	P-6m2
E	-8.08	eV per atom

Cell: 7.038 7.038 3.837 Å, 90.00 90.00 120.00°
Atoms (fractional coordinates):
Dy 0.000 0.000 0.000
Si 0.333 0.667 0.000
Si 0.393 0.197 0.500
Si 0.803 0.197 0.500
Si 0.803 0.607 0.500
Ir 0.197 0.395 0.500
Ir 0.197 0.803 0.500
Ir 0.533 0.066 0.000
Ir 0.533 0.467 0.000
Ir 0.605 0.803 0.500
Ir 0.934 0.467 0.000